## KMgNpSe3 (GGA-PBE)

Data for an optimized crystal structure of KMgNpSe3.

Electronic total energy   -66.66 eV for the cell shown
Spin magnetization   8.00 μB per cell
N(E_F)   10.7 states/eV/f.u.
Space group   P2_1/m (11)

abc: 9.078 4.296 10.103
angles: 90.00 106.43 90.00
Sites, in units of the cell vectors:
K1 0.202 0.250 0.222
K2 0.798 0.750 0.778
Mg1 0.087 0.250 0.607
Mg2 0.913 0.750 0.393
Np1 0.332 0.750 0.860
Np2 0.668 0.250 0.140
Se1 0.112 0.250 0.864
Se2 0.205 0.750 0.536
Se3 0.459 0.750 0.155
Se4 0.541 0.250 0.845
Se5 0.795 0.250 0.464
Se6 0.888 0.750 0.136

## K2MgNpSe4 (GGA-PBE)

Data for an optimized crystal structure of K2MgNpSe4.

Electronic total energy   -40.45 eV for the cell shown
Spin magnetization   3.00 μB per cell
N(E_F)   9.2 states/eV/f.u.
Space group   P2/m (10)

abc: 7.117 4.195 8.021
angles: 90.00 107.82 90.00
Sites, in units of the cell vectors:
K1 0.000 0.000 0.000
K2 0.500 0.500 0.000
Mg1 0.000 0.500 0.500
Np1 0.500 0.000 0.500
Se1 0.230 0.000 0.694
Se2 0.267 0.500 0.296
Se3 0.733 0.500 0.704
Se4 0.770 0.000 0.306

## K4MgNp3Te8 (GGA-PBE)

Data for an optimized crystal structure of K4MgNp3Te8.

Electronic total energy   -84.23 eV for the cell shown
Spin magnetization   11.00 μB per cell
N(E_F)   25.7 states/eV/f.u.
Space group   R-3m (166)

abc: 9.704 9.704 9.704
angles: 55.65 55.65 55.65
Sites, in units of the cell vectors:
K1 0.000 0.000 0.000
K2 0.000 0.500 0.500
K3 0.500 0.000 0.500
K4 0.500 0.500 0.000
Mg1 0.500 0.500 0.500
Np1 0.000 0.000 0.500
Np2 0.000 0.500 0.000
Np3 0.500 0.000 0.000
Te1 0.236 0.236 0.236
Te2 0.240 0.732 0.732
Te3 0.268 0.268 0.760
Te4 0.268 0.760 0.268
Te5 0.732 0.240 0.732
Te6 0.732 0.732 0.240
Te7 0.760 0.268 0.268
Te8 0.764 0.764 0.764

## K2MgNpTe4 (GGA-PBE)

Data for an optimized crystal structure of K2MgNpTe4.

Electronic total energy   -36.29 eV for the cell shown
Spin magnetization   3.00 μB per cell
N(E_F)   8.2 states/eV/f.u.
Space group   P2/m (10)

abc: 7.691 4.490 8.594
angles: 90.00 108.01 90.00
Sites, in units of the cell vectors:
K1 0.000 0.000 0.000
K2 0.500 0.500 0.000
Mg1 0.000 0.500 0.500
Np1 0.500 0.000 0.500
Te1 0.229 0.000 0.696
Te2 0.266 0.500 0.292
Te3 0.734 0.500 0.708
Te4 0.771 0.000 0.304

## K2Mg2O3 (GGA-PBE)

Data for an optimized crystal structure of K2Mg2O3.

Electronic total energy   -68.30 eV for the cell shown
Spin magnetization   0.11 μB per cell
N(E_F)   0.0 states/eV/f.u.
Space group   P2_1/c (14)

abc: 5.957 6.282 6.397
angles: 90.00 114.10 90.00
Sites, in units of the cell vectors:
K1 0.180 0.130 0.427
K2 0.180 0.370 0.927
K3 0.820 0.630 0.073
K4 0.820 0.870 0.573
Mg1 0.337 0.607 0.576
Mg2 0.337 0.893 0.076
Mg3 0.663 0.107 0.924
Mg4 0.663 0.393 0.424
O1 0.000 0.000 0.000
O2 0.000 0.500 0.500
O3 0.417 0.643 0.295
O4 0.417 0.857 0.795
O5 0.583 0.143 0.205
O6 0.583 0.357 0.705

## K3MgO (GGA-PBE)

Data for an optimized crystal structure of K3MgO.

Electronic total energy   -11.84 eV for the cell shown
Spin magnetization   0.00 μB per cell
N(E_F)   4.0 states/eV/f.u.
Space group   Pm-3m (221)

abc: 5.536 5.536 5.536
angles: 90.00 90.00 90.00
Sites, in units of the cell vectors:
K1 0.000 0.000 0.500
K2 0.000 0.500 0.000
K3 0.500 0.000 0.000
Mg1 0.500 0.500 0.500
O1 0.000 0.000 0.000

## KMg4O2 (GGA-PBE)

Data for an optimized crystal structure of KMg4O2.

Electronic total energy   -15.39 eV for the cell shown
Spin magnetization   0.00 μB per cell
N(E_F)   4.2 states/eV/f.u.
Space group   I4/mmm (139)

abc: 7.765 7.765 7.765
angles: 140.01 140.01 57.83
Sites, in units of the cell vectors:
K1 0.000 0.000 0.000
Mg1 0.000 0.500 0.500
Mg2 0.273 0.273 0.000
Mg3 0.500 0.000 0.500
Mg4 0.727 0.727 0.000
O1 0.410 0.410 0.000
O2 0.590 0.590 0.000

## K2MgO (GGA-PBE)

Data for an optimized crystal structure of K2MgO.

Electronic total energy   -9.07 eV for the cell shown
Spin magnetization   0.00 μB per cell
N(E_F)   0.0 states/eV/f.u.
Space group   Fm-3m (225)

abc: 5.359 5.359 5.359
angles: 60.00 60.00 60.00
Sites, in units of the cell vectors:
K1 0.250 0.250 0.250
K2 0.750 0.750 0.750
Mg1 0.000 0.000 0.000
O1 0.500 0.500 0.500

## KMgO2 (GGA-PBE)

Data for an optimized crystal structure of KMgO2.

Electronic total energy   -37.76 eV for the cell shown
Spin magnetization   2.00 μB per cell
N(E_F)   0.9 states/eV/f.u.
Space group   I-42d (122)

abc: 6.499 6.499 6.499
angles: 132.83 132.83 68.93
Sites, in units of the cell vectors:
K1 0.000 0.000 0.000
K2 0.750 0.250 0.500
Mg1 0.250 0.750 0.500
Mg2 0.500 0.500 0.000
O1 0.259 0.625 0.134
O2 0.375 0.509 0.634
O3 0.491 0.125 0.866
O4 0.875 0.741 0.366

## KMg2Os2O7 (GGA-PBE)

Data for an optimized crystal structure of KMg2Os2O7.

Electronic total energy   -80.25 eV for the cell shown
Spin magnetization   2.08 μB per cell
N(E_F)   5.1 states/eV/f.u.
Space group   I4/mmm (139)

abc: 9.073 9.073 9.073
angles: 154.46 154.46 36.43
Sites, in units of the cell vectors:
K1 0.000 0.000 0.000
Mg1 0.250 0.750 0.500
Mg2 0.750 0.250 0.500
Os1 0.388 0.388 0.000
Os2 0.612 0.612 0.000
O1 0.124 0.624 0.500
O2 0.269 0.269 0.000
O3 0.376 0.876 0.500
O4 0.500 0.500 0.000
O5 0.624 0.124 0.500
O6 0.731 0.731 0.000
O7 0.876 0.376 0.500

## KMgOsO6 (GGA-PBE)

Data for an optimized crystal structure of KMgOsO6.

Electronic total energy   -55.46 eV for the cell shown
Spin magnetization   1.06 μB per cell
Space group   C2 (5)

abc: 5.473 5.473 5.696
angles: 90.43 90.43 120.76
Sites, in units of the cell vectors:
K1 0.000 0.000 0.000
Mg1 0.681 0.319 0.500
Os1 0.323 0.677 0.500
O1 0.034 0.413 0.307
O2 0.041 0.612 0.702
O3 0.388 0.959 0.298
O4 0.390 0.404 0.660
O5 0.587 0.966 0.693
O6 0.596 0.610 0.340

## K3MgOs2O9 (GGA-PBE)

Data for an optimized crystal structure of K3MgOs2O9.

Electronic total energy   -94.59 eV for the cell shown
Spin magnetization   0.00 μB per cell
N(E_F)   4.9 states/eV/f.u.
Space group   P-3m1 (164)

abc: 5.607 5.607 6.922
angles: 90.00 90.00 120.00
Sites, in units of the cell vectors:
K1 0.000 0.000 0.000
K2 0.333 0.667 0.661
K3 0.667 0.333 0.339
Mg1 0.000 0.000 0.500
Os1 0.333 0.667 0.168
Os2 0.667 0.333 0.832
O1 0.000 0.500 0.000
O2 0.174 0.348 0.318
O3 0.174 0.826 0.318
O4 0.348 0.174 0.682
O5 0.500 0.000 0.000
O6 0.500 0.500 0.000
O7 0.652 0.826 0.318
O8 0.826 0.174 0.682
O9 0.826 0.652 0.682

## K2MgOs3O12 (GGA-PBE)

Data for an optimized crystal structure of K2MgOs3O12.

Electronic total energy   -121.01 eV for the cell shown
Spin magnetization   0.00 μB per cell
N(E_F)   5.9 states/eV/f.u.
Space group   R-3m (166)

abc: 7.336 7.336 7.336
angles: 59.58 59.58 59.58
Sites, in units of the cell vectors:
K1 0.104 0.104 0.104
K2 0.896 0.896 0.896
Mg1 0.500 0.500 0.500
Os1 0.000 0.500 0.500
Os2 0.500 0.000 0.500
Os3 0.500 0.500 0.000
O1 0.177 0.556 0.556
O2 0.181 0.181 0.574
O3 0.181 0.574 0.181
O4 0.426 0.819 0.819
O5 0.444 0.444 0.823
O6 0.444 0.823 0.444
O7 0.556 0.177 0.556
O8 0.556 0.556 0.177
O9 0.574 0.181 0.181
O10 0.819 0.426 0.819
O11 0.819 0.819 0.426
O12 0.823 0.444 0.444

## K2MgOsO6 (GGA-PBE)

Data for an optimized crystal structure of K2MgOsO6.

Electronic total energy   -59.26 eV for the cell shown
Spin magnetization   0.00 μB per cell
Space group   P-3m1 (164)

abc: 6.069 6.069 5.275
angles: 90.00 90.00 120.00
Sites, in units of the cell vectors:
K1 0.333 0.667 0.317
K2 0.667 0.333 0.683
Mg1 0.000 0.000 0.000
Os1 0.000 0.000 0.500
O1 0.143 0.285 0.716
O2 0.143 0.857 0.716
O3 0.285 0.143 0.284
O4 0.715 0.857 0.716
O5 0.857 0.143 0.284
O6 0.857 0.715 0.284

## KMgOs2O8 (GGA-PBE)

Data for an optimized crystal structure of KMgOs2O8.

Electronic total energy   -80.87 eV for the cell shown
Spin magnetization   3.01 μB per cell
N(E_F)   7.7 states/eV/f.u.
Space group   P-3 (147)

abc: 5.785 5.785 7.409
angles: 90.00 90.00 120.00
Sites, in units of the cell vectors:
K1 0.000 0.000 0.000
Mg1 0.000 0.000 0.500
Os1 0.333 0.667 0.747
Os2 0.667 0.333 0.253
O1 0.159 0.327 0.672
O2 0.168 0.841 0.672
O3 0.327 0.168 0.328
O4 0.333 0.667 0.986
O5 0.667 0.333 0.014
O6 0.673 0.832 0.672
O7 0.832 0.159 0.328
O8 0.841 0.673 0.328

## KMgP2O (GGA-PBE)

Data for an optimized crystal structure of KMgP2O.

Electronic total energy   -18.06 eV for the cell shown
Spin magnetization   0.75 μB per cell
N(E_F)   3.8 states/eV/f.u.
Space group   P4/mmm (123)

abc: 5.309 5.309 3.802
angles: 90.00 90.00 90.00
Sites, in units of the cell vectors:
K1 0.000 0.000 0.000
Mg1 0.500 0.500 0.500
P1 0.000 0.500 0.500
P2 0.500 0.000 0.500
O1 0.500 0.500 0.000

## KMgPO2 (GGA-PBE)

Data for an optimized crystal structure of KMgPO2.

Electronic total energy   -14.01 eV for the cell shown
Spin magnetization   4.01 μB per cell
N(E_F)   6.0 states/eV/f.u.
Space group   P4/mmm (123)

abc: 4.510 4.510 6.067
angles: 90.00 90.00 90.00
Sites, in units of the cell vectors:
K1 0.000 0.000 0.000
Mg1 0.500 0.500 0.500
P1 0.000 0.000 0.500
O1 0.000 0.500 0.000
O2 0.500 0.000 0.000

## KMgPO4 (GGA-PBE)

Data for an optimized crystal structure of KMgPO4.

Electronic total energy   -364.60 eV for the cell shown
Spin magnetization   0.00 μB per cell
N(E_F)   0.0 states/eV/f.u.
Space group   P2_1/c (14)

abc: 8.677 5.163 19.219
angles: 90.00 91.95 90.00
Sites, in units of the cell vectors:
K1 0.005 0.217 0.092
K2 0.005 0.283 0.592
K3 0.479 0.725 0.340
K4 0.479 0.775 0.840
K5 0.521 0.225 0.160
K6 0.521 0.275 0.660
K7 0.995 0.717 0.408
K8 0.995 0.783 0.908
Mg1 0.156 0.229 0.768
Mg2 0.156 0.271 0.268
Mg3 0.320 0.726 0.530
Mg4 0.320 0.774 0.030
Mg5 0.680 0.226 0.970
Mg6 0.680 0.274 0.470
Mg7 0.844 0.729 0.732
Mg8 0.844 0.771 0.232
P1 0.205 0.701 0.189
P2 0.205 0.799 0.689
P3 0.296 0.247 0.436
P4 0.296 0.253 0.936
P5 0.704 0.747 0.064
P6 0.704 0.753 0.564
P7 0.795 0.201 0.311
P8 0.795 0.299 0.811
O1 0.049 0.589 0.217
O2 0.049 0.911 0.717
O3 0.202 0.660 0.109
O4 0.202 0.840 0.609
O5 0.217 0.176 0.866
O6 0.217 0.324 0.366
O7 0.222 0.097 0.996
O8 0.222 0.403 0.496
O9 0.226 0.509 0.706
O10 0.226 0.991 0.206
O11 0.278 0.548 0.949
O12 0.278 0.952 0.449
O13 0.328 0.529 0.227
O14 0.328 0.971 0.727
O15 0.470 0.183 0.934
O16 0.470 0.317 0.434
O17 0.530 0.683 0.566
O18 0.530 0.817 0.066
O19 0.672 0.029 0.273
O20 0.672 0.471 0.773
O21 0.722 0.048 0.551
O22 0.722 0.452 0.051
O23 0.774 0.009 0.794
O24 0.774 0.491 0.294
O25 0.778 0.597 0.504
O26 0.778 0.903 0.004
O27 0.783 0.676 0.634
O28 0.783 0.824 0.134
O29 0.798 0.160 0.391
O30 0.798 0.340 0.891
O31 0.951 0.089 0.283
O32 0.951 0.411 0.783